The following is a GGA-PBE calculation of CdP3Pd after structural relaxation, from the Alexandria database.

Cell lengths 4.731, 4.731, 4.731 Å; angles 90.00, 90.00, 90.00 degrees
Fractional positions:
Pd 0.000 0.000 0.000
Cd 0.500 0.500 0.500
P 0.000 0.500 0.000
P 0.000 0.000 0.500
P 0.500 0.000 0.000

The theoretical density is 4.888 g cm⁻³. The calculation puts the excess energy over the best structure of this formula in the dataset at 0 kJ/mol of formula units. The value obtained for the formation energy is 3.7 eV/f.u.

The following is a GGA-PBE calculation of TbPm12Ir7 after structural relaxation, from the Alexandria database.

Cell lengths 8.922, 9.293, 9.293 Å; angles 69.73, 71.34, 108.66 degrees
Fractional positions:
Ir 0.056 0.763 0.907
Ir 0.944 0.237 0.093
Ir 0.963 0.907 0.330
Ir 0.293 0.330 0.763
Ir 0.707 0.670 0.237
Ir 0.500 0.000 0.000
Ir 0.037 0.093 0.670
Pm 0.585 0.922 0.284
Pm 0.663 0.794 0.922
Pm 0.101 0.856 0.563
Pm 0.131 0.716 0.206
Pm 0.664 0.563 0.581
Pm 0.336 0.437 0.419
Pm 0.245 0.581 0.856
Pm 0.899 0.144 0.437
Pm 0.869 0.284 0.794
Pm 0.337 0.206 0.078
Pm 0.755 0.419 0.144
Pm 0.415 0.078 0.716
Tb 0.000 0.000 0.000

The theoretical density is 8.995 g cm⁻³. The value obtained for the formation energy is -9.8 eV/f.u.

The following is a GGA-PBE calculation of TlCo2Br after structural relaxation, from the Alexandria database.

Cell lengths 7.812, 7.812, 7.812 Å; angles 24.36, 24.36, 24.36 degrees
Fractional positions:
Co 0.006 0.006 0.006
Co 0.494 0.494 0.494
Tl 0.250 0.250 0.250
Br 0.750 0.750 0.750

The theoretical density is 9.366 g cm⁻³. The calculation puts the excess energy over the best structure of this formula in the dataset at 116 kJ/mol of formula units. The calculation puts the energy relative to the elements, uncorrected at 646 meV/atom.

The following is a GGA-PBE calculation of RbOF5 after structural relaxation, from the Alexandria database.

Cell lengths 5.860, 5.455, 5.455 Å; angles 69.40, 57.51, 57.51 degrees
Fractional positions:
Rb 0.685 0.315 0.315
F 0.801 0.826 0.826
F 0.547 0.826 0.826
F 0.302 0.198 0.198
F 0.053 0.729 0.165
F 0.053 0.165 0.729
O 0.089 0.411 0.411

The theoretical density is 2.640 g cm⁻³. The calculation puts the energy relative to the elements, uncorrected at -713 meV/atom.

The following is a GGA-PBE calculation of Y2ZrFe after structural relaxation, from the Alexandria database.

Cell lengths 6.121, 6.121, 5.008 Å; angles 65.83, 65.83, 32.58 degrees
Fractional positions:
Zr 0.750 0.750 0.750
Y 0.552 0.552 0.448
Y 0.948 0.948 0.052
Fe 0.250 0.250 0.250

The theoretical density is 5.902 g cm⁻³. The calculation puts the excess energy over the best structure of this formula in the dataset at 50 kJ/mol of formula units. The value obtained for the formation energy is 0.7 eV/f.u.

The following is a GGA-PBE calculation of BaPr2Pb2 after structural relaxation, from the Alexandria database.

Cell lengths 5.797, 8.822, 8.813 Å; angles 69.45, 70.77, 70.80 degrees
Fractional positions:
Pr 0.607 0.559 0.727
Pr 0.393 0.441 0.273
Pr 0.107 0.060 0.226
Pr 0.893 0.940 0.774
Ba 0.749 0.750 0.251
Ba 0.251 0.250 0.749
Pb 0.866 0.301 0.468
Pb 0.134 0.699 0.532
Pb 0.634 0.199 0.032
Pb 0.366 0.801 0.968

The theoretical density is 7.158 g cm⁻³. The value obtained for the formation energy is -2.1 eV/f.u.